[1]
First-principles (GGA-PBEsol) data for an optimized crystal structure of CaC2, as listed in Alexandria via LeMat-Bulk.

a b c (Å): 3.824 4.170 3.824
angles (deg): 62.70 90.00 117.30
Positions (direct):
Ca 0.000 0.000 0.000
C 0.599 0.199 0.401
C 0.401 0.801 0.599

Results
Energy above the lowest structure with this stoichiometry = 114 meV per atom
Space group = I4/mmm



[2]
First-principles (GGA-PBEsol) data for an optimized crystal structure of CaC2, as listed in Alexandria via LeMat-Bulk.

a b c (Å): 3.943 5.389 8.845
angles (deg): 90.00 98.68 90.00
Positions (direct):
Ca 0.250 0.750 0.125
Ca 0.750 0.250 0.375
Ca 0.750 0.250 0.875
Ca 0.250 0.750 0.625
C 0.166 0.250 0.180
C 0.834 0.750 0.320
C 0.834 0.750 0.820
C 0.166 0.250 0.680
C 0.335 0.250 0.070
C 0.665 0.750 0.430
C 0.665 0.750 0.930
C 0.335 0.250 0.570

Results
Energy above the lowest structure with this stoichiometry = 113 meV per atom
Space group = C2/m



[3]
First-principles (GGA-PBEsol) data for an optimized crystal structure of CaC3, as listed in Alexandria via LeMat-Bulk.

a b c (Å): 3.455 3.455 4.281
angles (deg): 113.80 113.80 90.00
Positions (direct):
Ca 0.000 0.000 0.000
C 0.750 0.250 0.500
C 0.500 0.500 0.000
C 0.250 0.750 0.500

Results
Energy above the lowest structure with this stoichiometry = 2298 meV per atom
DOS at the Fermi energy = 1.54 states/eV/f.u.
Space group = I4/mmm



[4]
First-principles (GGA-PBEsol) data for an optimized crystal structure of CaC2, as listed in Alexandria via LeMat-Bulk.

a b c (Å): 3.737 4.852 5.267
angles (deg): 90.00 90.00 90.00
Positions (direct):
Ca 0.000 0.000 0.000
Ca 0.500 0.500 0.500
C 0.000 0.870 0.500
C 0.500 0.630 0.000
C 0.500 0.370 0.000
C 0.000 0.130 0.500

Results
Energy above the lowest structure with this stoichiometry = 114 meV per atom
DOS at the Fermi energy = 0.00 states/eV/f.u.
Space group = Immm



[5]
First-principles (GGA-PBEsol) data for an optimized crystal structure of CaC2, as listed in Alexandria via LeMat-Bulk.

a b c (Å): 5.778 5.778 5.778
angles (deg): 90.00 90.00 90.00
Positions (direct):
Ca 0.500 0.000 0.500
Ca 0.000 0.500 0.500
Ca 0.000 0.000 0.000
Ca 0.500 0.500 0.000
C 0.063 0.563 0.937
C 0.937 0.437 0.063
C 0.563 0.937 0.063
C 0.437 0.063 0.937
C 0.937 0.063 0.563
C 0.063 0.937 0.437
C 0.437 0.437 0.437
C 0.563 0.563 0.563

Results
Energy above the lowest structure with this stoichiometry = 175 meV per atom
DOS at the Fermi energy = 0.00 states/eV/f.u.
Space group = Pa-3



[6]
First-principles (GGA-PBEsol) data for an optimized crystal structure of CaC2, as listed in Alexandria via LeMat-Bulk.

a b c (Å): 3.800 3.800 7.947
angles (deg): 90.00 90.00 120.00
Positions (direct):
Ca 0.000 0.000 0.000
Ca 0.000 0.000 0.500
C 0.667 0.333 0.171
C 0.333 0.667 0.671
C 0.667 0.333 0.329
C 0.333 0.667 0.829

Results
Energy above the lowest structure with this stoichiometry = 176 meV per atom
DOS at the Fermi energy = 0.00 states/eV/f.u.
Space group = P6_3/mmc



[7]
First-principles (GGA-PBEsol) data for an optimized crystal structure of CaC2, as listed in Alexandria via LeMat-Bulk.

a b c (Å): 4.006 4.006 5.272
angles (deg): 85.45 85.45 78.93
Positions (direct):
Ca 0.824 0.824 0.766
Ca 0.176 0.176 0.234
C 0.769 0.769 0.259
C 0.231 0.231 0.741
C 0.581 0.581 0.404
C 0.419 0.419 0.596

Results
Energy above the lowest structure with this stoichiometry = 108 meV per atom
DOS at the Fermi energy = 0.96 states/eV/f.u.
Space group = C2/m



[8]
First-principles (GGA-PBEsol) data for an optimized crystal structure of CaC, as listed in Alexandria via LeMat-Bulk.

a b c (Å): 3.079 3.079 3.079
angles (deg): 90.00 90.00 90.00
Positions (direct):
Ca 0.500 0.500 0.500
C 0.000 0.000 0.000

Results
Energy above the lowest structure with this stoichiometry = 1035 meV per atom
DOS at the Fermi energy = 1.09 states/eV/f.u.
Space group = Pm-3m